Entry 1:
A relaxed structure of Nd2TiAlIr2, computed with PBE-GGA.

Structure (POSCAR):
```
Nd2TiAlIr2
1.0
-2.949 6.912 3.157
2.949 -6.912 3.157
2.949 6.912 -3.157
Nd Ti Al Ir
4 2 2 4
direct
0.176 0.245 0.421
0.324 0.745 0.069
0.676 0.255 0.931
0.824 0.755 0.579
0.250 0.750 0.500
0.750 0.250 0.500
0.250 0.250 0.000
0.750 0.750 0.000
0.103 0.742 0.846
0.397 0.242 0.639
0.603 0.758 0.361
0.897 0.258 0.154
```

Computed properties:
Energy of formation from the pure elements   -71 kJ per mole of atoms
Total DFT energy (no corrections)   -86.57 eV per cell
Fermi-level density of states   0.8851 states/eV per atom



Entry 2:
A relaxed structure of NdAlZnIr, computed with PBE-GGA.

Structure (POSCAR):
```
NdAlZnIr
1.0
2.184 1.261 5.016
-2.184 1.261 5.016
0.000 -2.522 5.016
Nd Al Zn Ir
1 1 1 1
direct
0.000 0.000 0.000
0.471 0.471 0.471
0.203 0.203 0.203
0.802 0.802 0.802
```

Computed properties:
Energy of formation from the pure elements   -58 kJ per mole of atoms
Total DFT energy (no corrections)   -21.05 eV per cell
Fermi-level density of states   0.6556 states/eV per atom